The following is a DFT calculation (GGA-PBE) of NiTeCl2 after structural relaxation.

Geometry as POSCAR:
```
NiTeCl2
1.0
5.368 0.000 0.000
0.000 3.500 0.000
-2.162 0.000 5.011
Ni Te Cl
1 1 2
direct
0.000 0.000 0.000
0.121 0.500 0.752
0.340 0.000 0.402
0.751 0.500 0.094
```

## Properties
Offset from the most stable computed form   0.1468 eV per atom
D(E_F)   2.23 states/eV per cell
Formation energy from raw total energies   -252.2 meV/atom
Symmetry   Pm (6)
Crystal system   monoclinic

***

The following is a DFT calculation (GGA-PBE) of Ce4RuRh after structural relaxation.

Geometry as POSCAR:
```
Ce4RuRh
1.0
5.329 0.000 0.000
0.000 8.415 0.000
-0.694 0.000 7.393
Ce Ru Rh
8 2 2
direct
0.010 0.040 0.244
0.010 0.460 0.244
0.443 0.750 0.484
0.466 0.250 0.974
0.534 0.750 0.026
0.557 0.250 0.516
0.990 0.540 0.756
0.990 0.960 0.756
0.062 0.750 0.068
0.938 0.250 0.932
0.075 0.250 0.560
0.925 0.750 0.440
```

## Properties
Offset from the most stable computed form   0.1040 eV per atom
D(E_F)   39.16 states/eV per cell
Symmetry   P2_1/m (11)
E_form   -271 meV per atom
Crystal system   monoclinic

***

The following is a DFT calculation (GGA-PBE) of La2PaNi4 after structural relaxation.

Geometry as POSCAR:
```
La2PaNi4
1.0
-2.618 2.618 5.034
2.618 -2.618 5.034
2.618 2.618 -5.034
La Pa Ni
2 1 4
direct
0.170 0.170 0.000
0.830 0.830 0.000
0.500 0.500 0.000
0.124 0.624 0.500
0.376 0.876 0.500
0.624 0.124 0.500
0.876 0.376 0.500
```

## Properties
D(E_F)   6.79 states/eV per cell
Symmetry   I4/mmm (139)
E_form   -181 meV per atom
Crystal system   tetragonal

***

The following is a DFT calculation (GGA-PBE) of AcPm5Er6 after structural relaxation.

Geometry as POSCAR:
```
AcPm5Er6
1.0
-2.568 5.030 7.697
2.568 -5.030 7.697
2.568 5.030 -7.697
Ac Pm Er
1 5 6
direct
0.000 0.000 0.000
0.170 0.670 0.500
0.333 0.333 0.000
0.500 0.000 0.500
0.667 0.667 0.000
0.830 0.330 0.500
0.085 0.832 0.253
0.256 0.500 0.756
0.421 0.168 0.253
0.579 0.832 0.747
0.744 0.500 0.244
0.915 0.168 0.747
```

## Properties
D(E_F)   16.42 states/eV per cell
Symmetry   Immm (71)
E_form   31 meV per atom
Crystal system   orthorhombic

***

The following is a DFT calculation (GGA-PBE) of Dy2Er2Ag3 after structural relaxation.

Geometry as POSCAR:
```
Dy2Er2Ag3
1.0
5.063 0.000 0.000
2.523 4.396 0.000
2.523 1.431 8.262
Dy Er Ag
2 2 3
direct
0.126 0.128 0.120
0.874 0.872 0.880
0.377 0.377 0.370
0.623 0.623 0.630
0.000 0.000 0.500
0.251 0.250 0.748
0.749 0.750 0.252
```

## Properties
D(E_F)   6.00 states/eV per cell
Symmetry   P-1 (2)
E_form   -169 meV per atom
Crystal system   triclinic

***

The following is a DFT calculation (GGA-PBE) of RbNiPd after structural relaxation.

Geometry as POSCAR:
```
RbNiPd
1.0
4.472 0.000 0.000
0.000 5.147 0.000
2.232 0.313 5.958
Rb Ni Pd
2 2 2
direct
0.000 0.000 0.000
0.471 0.498 0.058
0.253 0.002 0.499
0.738 0.763 0.529
0.215 0.518 0.575
0.740 0.248 0.524
```

## Properties
Offset from the most stable computed form   0.0198 eV per atom
D(E_F)   7.90 states/eV per cell
Symmetry   P1 (1)
E_form   214 meV per atom
Crystal system   triclinic

***

The following is a DFT calculation (GGA-PBE) of Hf2ZnIr2 after structural relaxation.

Geometry as POSCAR:
```
Hf2ZnIr2
1.0
7.657 0.000 0.000
0.000 7.657 0.000
0.000 0.000 3.121
Hf Zn Ir
4 2 4
direct
0.160 0.340 0.000
0.340 0.840 0.000
0.660 0.160 0.000
0.840 0.660 0.000
0.000 0.000 0.500
0.500 0.500 0.500
0.138 0.638 0.500
0.362 0.138 0.500
0.638 0.862 0.500
0.862 0.362 0.500
```

## Properties
D(E_F)   7.21 states/eV per cell
Symmetry   P4/mbm (127)
E_form   -667 meV per atom
Crystal system   tetragonal

***

The following is a DFT calculation (GGA-PBE) of EuYLuAl after structural relaxation.

Geometry as POSCAR:
```
EuYLuAl
1.0
0.000 3.800 3.800
3.800 0.000 3.800
3.800 3.800 0.000
Eu Y Lu Al
1 1 1 1
direct
0.000 0.000 0.000
0.750 0.750 0.750
0.250 0.250 0.250
0.500 0.500 0.500
```

## Properties
D(E_F)   4.54 states/eV per cell
Symmetry   F-43m (216)
E_form   -11 meV per atom
Crystal system   cubic

***

The following is a DFT calculation (GGA-PBE) of SrLiHf2Ti after structural relaxation.

Geometry as POSCAR:
```
SrLiHf2Ti
1.0
5.299 0.000 0.000
0.000 5.299 0.000
0.000 0.000 4.920
Sr Li Hf Ti
1 1 2 1
direct
0.000 0.000 0.000
0.500 0.500 0.500
0.000 0.500 0.000
0.500 0.000 0.000
0.000 0.000 0.500
```

## Properties
D(E_F)   6.73 states/eV per cell
Symmetry   P4/mmm (123)
E_form   1972 meV per atom
Crystal system   tetragonal

***

The following is a DFT calculation (GGA-PBE) of MnBe17Ru after structural relaxation.

Geometry as POSCAR:
```
MnBe17Ru
1.0
3.595 2.076 3.520
-3.595 2.076 3.520
0.000 -4.152 3.520
Mn Be Ru
1 17 1
direct
0.000 0.000 0.000
0.033 0.339 0.644
0.033 0.644 0.339
0.183 0.687 0.687
0.237 0.237 0.237
0.337 0.337 0.841
0.337 0.841 0.337
0.339 0.033 0.644
0.339 0.644 0.033
0.441 0.441 0.441
0.504 0.988 0.988
0.644 0.033 0.339
0.644 0.339 0.033
0.687 0.183 0.687
0.687 0.687 0.183
0.841 0.337 0.337
0.988 0.504 0.988
0.988 0.988 0.504
0.674 0.674 0.674
```

## Properties
D(E_F)   2.32 states/eV per cell
Symmetry   R3m (160)
E_form   -144 meV per atom
Crystal system   trigonal

***

The following is a DFT calculation (GGA-PBE) of CdSi2Hg after structural relaxation.

Geometry as POSCAR:
```
CdSi2Hg
1.0
3.351 0.000 0.000
0.000 3.351 0.000
0.000 0.000 7.885
Cd Si Hg
1 2 1
direct
0.000 0.000 0.000
0.000 0.000 0.668
0.500 0.500 0.581
0.500 0.500 0.253
```

## Properties
Offset from the most stable computed form   0.0417 eV per atom
D(E_F)   0.94 states/eV per cell
Formation energy from raw total energies   255.6 meV/atom
Symmetry   P4mm (99)
Crystal system   tetragonal

***

The following is a DFT calculation (GGA-PBE) of CaAc2Nd2 after structural relaxation.

Geometry as POSCAR:
```
CaAc2Nd2
1.0
1.926 1.112 15.679
-1.926 1.112 15.679
0.000 -2.224 15.679
Ca Ac Nd
1 2 2
direct
0.000 0.000 0.000
0.403 0.403 0.403
0.597 0.597 0.597
0.198 0.198 0.198
0.802 0.802 0.802
```

## Properties
Offset from the most stable computed form   0.0000 eV per atom
D(E_F)   6.41 states/eV per cell
Symmetry   R-3m (166)
E_form   26 meV per atom
Crystal system   trigonal

***

Question: The lowest D(E_F) belongs to which entry?
Answer: CdSi2Hg